A plane-wave DFT calculation with PBE-GGA was carried out for a geometry-optimized Mn8Hg structure.

## Properties
Mass density = 9912 kg/m3
E_form = 293 meV/atom
Density of states at the Fermi level = 1.436 states/eV per atom

POSCAR file:
```
Mn8Hg
1.0
-3.8594 3.8594 1.7999
3.8594 -3.8594 1.7999
3.8594 3.8594 -1.7999
Mn Hg
8 1
direct
0.0000 0.3467 0.3467 Mn
0.0000 0.6533 0.6533 Mn
0.3132 0.3132 0.6263 Mn
0.3132 0.6868 0.0000 Mn
0.3467 0.0000 0.3467 Mn
0.6533 0.0000 0.6533 Mn
0.6868 0.3132 0.0000 Mn
0.6868 0.6868 0.3737 Mn
0.0000 0.0000 0.0000 Hg
```



A plane-wave DFT calculation with PBE-GGA was carried out for a geometry-optimized Na2InSn2Pd5 structure.

## Properties
Mass density = 7724 kg/m3
E_form = -391 meV/atom
Density of states at the Fermi level = 0.285 states/eV per atom

POSCAR file:
```
Na2InSn2Pd5
1.0
10.6486 0.0000 0.0000
0.0000 10.6486 0.0000
0.0000 0.0000 3.5274
Na In Sn Pd
4 2 4 10
direct
0.1687 0.3313 0.0000 Na
0.3313 0.8313 0.0000 Na
0.6687 0.1687 0.0000 Na
0.8313 0.6687 0.0000 Na
0.0000 0.0000 0.0000 In
0.5000 0.5000 0.0000 In
0.1340 0.6340 0.0000 Sn
0.3660 0.1340 0.0000 Sn
0.6340 0.8660 0.0000 Sn
0.8660 0.3660 0.0000 Sn
0.0000 0.5000 0.5000 Pd
0.0540 0.8061 0.5000 Pd
0.1939 0.0540 0.5000 Pd
0.3061 0.5540 0.5000 Pd
0.4460 0.3061 0.5000 Pd
0.5000 0.0000 0.5000 Pd
0.5540 0.6939 0.5000 Pd
0.6939 0.4460 0.5000 Pd
0.8061 0.9460 0.5000 Pd
0.9460 0.1939 0.5000 Pd
```



A plane-wave DFT calculation with PBE-GGA was carried out for a geometry-optimized La5Tm2 structure.

## Properties
Mass density = 6781 kg/m3
E_form = 167 meV/atom
Density of states at the Fermi level = 1.711 states/eV per atom

POSCAR file:
```
La5Tm2
1.0
8.2170 -1.8005 0.0000
8.2170 1.8005 0.0000
-7.8725 0.0000 8.5443
La Tm
5 2
direct
0.0000 0.0000 0.0000 La
0.1620 0.1620 0.6729 La
0.3697 0.3697 0.6333 La
0.6303 0.6303 0.3667 La
0.8380 0.8380 0.3271 La
0.3606 0.3606 0.0864 Tm
0.6394 0.6394 0.9136 Tm
```



A plane-wave DFT calculation with PBE-GGA was carried out for a geometry-optimized Tb7SmY5 structure.

## Properties
Mass density = 6489 kg/m3
E_form = 264 meV/atom
Density of states at the Fermi level = 1.983 states/eV per atom

POSCAR file:
```
Tb7SmY5
1.0
-3.3667 5.5980 5.7958
3.3667 -5.5980 5.7958
3.3667 5.5980 -5.7958
Tb Sm Y
7 1 5
direct
0.0000 0.0000 0.0000 Tb
0.0770 0.7487 0.3283 Tb
0.3033 0.3033 0.0000 Tb
0.4204 0.7487 0.6717 Tb
0.4984 0.9984 0.5000 Tb
0.5781 0.2497 0.3284 Tb
0.9213 0.2497 0.6716 Tb
0.6980 0.6980 0.0000 Sm
0.0001 0.5001 0.5000 Y
0.2717 0.2650 0.5394 Y
0.2717 0.7323 0.0067 Y
0.7256 0.2650 0.9933 Y
0.7256 0.7323 0.4606 Y
```



A plane-wave DFT calculation with PBE-GGA was carried out for a geometry-optimized FeHRh2Pb structure.

## Properties
Mass density = 11859 kg/m3
Density of states at the Fermi level = 0.824 states/eV per atom
Electronic total energy = -5.99 eV/atom

POSCAR file:
```
FeHRh2Pb
1.0
4.0831 0.0000 0.0000
0.0000 4.0831 0.0000
0.0000 0.0000 3.9465
Fe H Rh Pb
1 1 2 1
direct
0.0000 0.0000 0.0000 Fe
0.0000 0.0000 0.5000 H
0.0000 0.5000 0.5000 Rh
0.5000 0.0000 0.5000 Rh
0.5000 0.5000 0.0000 Pb
```



A plane-wave DFT calculation with PBE-GGA was carried out for a geometry-optimized CsSnSe2 structure.

## Properties
Mass density = 5565 kg/m3
Density of states at the Fermi level = 0.310 states/eV per atom
Formation energy without anion corrections = -272 meV/atom

POSCAR file:
```
CsSnSe2
1.0
6.0924 0.0000 0.0000
0.0000 6.0924 0.0000
0.0000 0.0000 3.2921
Cs Sn Se
1 1 2
direct
0.0000 0.0000 0.0000 Cs
0.5000 0.5000 0.0000 Sn
0.0000 0.5000 0.5000 Se
0.5000 0.0000 0.5000 Se
```



A plane-wave DFT calculation with PBE-GGA was carried out for a geometry-optimized LiHfP structure.

## Properties
Mass density = 7003 kg/m3
E_form = -698 meV/atom
Density of states at the Fermi level = 0.496 states/eV per atom

POSCAR file:
```
LiHfP
1.0
-1.9056 2.5709 5.2366
1.9056 -2.5709 5.2366
1.9056 2.5709 -5.2366
Li Hf P
2 2 2
direct
0.2296 0.0000 0.2296 Li
0.7704 0.0000 0.7704 Li
0.3082 0.3082 0.0000 Hf
0.6918 0.6918 0.0000 Hf
0.1475 0.6475 0.5000 P
0.8525 0.3525 0.5000 P
```



A plane-wave DFT calculation with PBE-GGA was carried out for a geometry-optimized Li5Bi3O12 structure.

## Properties
Mass density = 6084 kg/m3
Density of states at the Fermi level = 0.368 states/eV per atom
Formation energy without anion corrections = -877 meV/atom

POSCAR file:
```
Li5Bi3O12
1.0
-6.1533 6.1533 6.1533
6.1533 -6.1533 6.1533
6.1533 6.1533 -6.1533
Li Bi O
20 12 48
direct
0.0000 0.0000 0.0000 Li
0.0000 0.0000 0.5000 Li
0.0000 0.5000 0.0000 Li
0.0000 0.5000 0.5000 Li
0.1250 0.7500 0.8750 Li
0.1250 0.8750 0.2500 Li
0.2500 0.1250 0.8750 Li
0.2500 0.6250 0.3750 Li
0.3750 0.2500 0.6250 Li
0.3750 0.6250 0.7500 Li
0.5000 0.0000 0.0000 Li
0.5000 0.0000 0.5000 Li
0.5000 0.5000 0.0000 Li
0.5000 0.5000 0.5000 Li
0.6250 0.3750 0.2500 Li
0.6250 0.7500 0.3750 Li
0.7500 0.3750 0.6250 Li
0.7500 0.8750 0.1250 Li
0.8750 0.1250 0.7500 Li
0.8750 0.2500 0.1250 Li
0.1250 0.2500 0.3750 Bi
0.1250 0.3750 0.7500 Bi
0.2500 0.3750 0.1250 Bi
0.2500 0.8750 0.6250 Bi
0.3750 0.1250 0.2500 Bi
0.3750 0.7500 0.1250 Bi
0.6250 0.2500 0.8750 Bi
0.6250 0.8750 0.7500 Bi
0.7500 0.1250 0.3750 Bi
0.7500 0.6250 0.8750 Bi
0.8750 0.6250 0.2500 Bi
0.8750 0.7500 0.6250 Bi
0.0475 0.2303 0.1373 O
0.0475 0.3172 0.9102 O
0.0898 0.6373 0.4069 O
0.0898 0.9525 0.6828 O
0.0931 0.7303 0.6828 O
0.0931 0.8627 0.4102 O
0.1373 0.0475 0.2303 O
0.1373 0.5898 0.9069 O
0.1828 0.2303 0.5931 O
0.1828 0.4525 0.5898 O
0.2303 0.1373 0.0475 O
0.2303 0.5931 0.1828 O
0.2697 0.3172 0.9069 O
0.2697 0.4525 0.3627 O
0.3172 0.9069 0.2697 O
0.3172 0.9102 0.0475 O
0.3627 0.2697 0.4525 O
0.3627 0.5931 0.9102 O
0.4069 0.0898 0.6373 O
0.4069 0.8172 0.7697 O
0.4102 0.0931 0.8627 O
0.4102 0.8172 0.5475 O
0.4525 0.3627 0.2697 O
0.4525 0.5898 0.1828 O
0.5475 0.4102 0.8172 O
0.5475 0.6373 0.7303 O
0.5898 0.1828 0.4525 O
0.5898 0.9069 0.1373 O
0.5931 0.1828 0.2303 O
0.5931 0.9102 0.3627 O
0.6373 0.4069 0.0898 O
0.6373 0.7303 0.5475 O
0.6828 0.0898 0.9525 O
0.6828 0.0931 0.7303 O
0.7303 0.5475 0.6373 O
0.7303 0.6828 0.0931 O
0.7697 0.4069 0.8172 O
0.7697 0.8627 0.9525 O
0.8172 0.5475 0.4102 O
0.8172 0.7697 0.4069 O
0.8627 0.4102 0.0931 O
0.8627 0.9525 0.7697 O
0.9069 0.1373 0.5898 O
0.9069 0.2697 0.3172 O
0.9102 0.0475 0.3172 O
0.9102 0.3627 0.5931 O
0.9525 0.6828 0.0898 O
0.9525 0.7697 0.8627 O
```



A plane-wave DFT calculation with PBE-GGA was carried out for a geometry-optimized Na2SrCa structure.

## Properties
Distance to the lowest polymorph of the same formula = 0 meV/atom
Mass density = 1645 kg/m3
E_form = 48 meV/atom
Density of states at the Fermi level = 0.684 states/eV per atom

POSCAR file:
```
Na2SrCa
1.0
1.9976 1.1533 12.6838
-1.9976 1.1533 12.6838
0.0000 -2.3066 12.6838
Na Sr Ca
2 1 1
direct
0.0000 0.0000 0.0000 Na
0.4116 0.4116 0.4116 Na
0.5797 0.5797 0.5797 Sr
0.8262 0.8262 0.8262 Ca
```



A plane-wave DFT calculation with PBE-GGA was carried out for a geometry-optimized LiTcSb3 structure.

## Properties
Distance to the lowest polymorph of the same formula = 545 meV/atom
Mass density = 6606 kg/m3
Density of states at the Fermi level = 0.881 states/eV per atom
Formation energy without anion corrections = 907 meV/atom

POSCAR file:
```
LiTcSb3
1.0
4.9076 0.0000 0.0000
0.0000 4.9076 0.0000
0.0000 0.0000 4.9076
Li Tc Sb
1 1 3
direct
0.0000 0.0000 0.0000 Li
0.5000 0.5000 0.5000 Tc
0.0000 0.0000 0.5000 Sb
0.0000 0.5000 0.0000 Sb
0.5000 0.0000 0.0000 Sb
```



Question: Which of these has the highest mass density?
Answer: FeHRh2Pb



Question: What is the mass density in the sixth record?
Answer: 5565 kg/m3



Question: Among the records above, which one has the highest mass density?
Answer: FeHRh2Pb